1.
A plane-wave DFT calculation with GGA-PBE was carried out for CoTeOs2 after structural relaxation.

**Space-group type**: Immm (71)
**VASP energy**: -29.5 eV/cell
**N(E_F)**: 1.04 states/eV/atom
**Volume**: 15.811 Å³/atom
**Magnetization**: 1.36 Bohr magnetons per cell

```
CoTeOs2
1.0
-1.1641 4.9794 2.2099
0.6134 1.2287 5.3988
2.2762 -1.7290 -4.7815
Co Os Te
1 2 1
direct
0.2500 0.7500 0.5000 Co
0.9693 0.9693 0.0000 Os
0.5307 0.5307 0.0000 Os
0.7500 0.2500 0.5000 Te
```



2.
A plane-wave DFT calculation with GGA-PBE was carried out for Dy4ErAl after structural relaxation.

**Space-group type**: C2/c (15)
**N(E_F)**: 1.28 states/eV/atom
**Volume**: 29.333 Å³/atom
**Formation enthalpy at 0 K**: -35 meV per atom
**Magnetization**: 0.00 Bohr magnetons per cell

```
Dy4ErAl
1.0
6.1762 -0.6748 0.0000
-2.5265 8.5538 0.0000
-1.8248 -3.9395 6.8849
Dy Er Al
8 2 2
direct
0.0407 0.1632 0.7655 Dy
0.7596 0.7158 0.6297 Dy
0.2248 0.6024 0.7655 Dy
0.3701 0.9139 0.6297 Dy
0.6299 0.0861 0.3703 Dy
0.7752 0.3976 0.2345 Dy
0.2404 0.2842 0.3703 Dy
0.9593 0.8368 0.2345 Dy
0.3414 0.5914 0.1828 Er
0.6586 0.4086 0.8172 Er
0.2494 0.9994 0.9988 Al
0.7506 0.0006 0.0012 Al
```